Computed, not measured: ZrTe2Se after structural relaxation at the GGA-PBE level of DFT.

Cell: 3.2528 3.2528 10.2985 Å, 90.00 90.00 102.68°
Last column: nearest neighbours and their distance in Å.
Atoms (fractional coordinates):
Zr (0.5000, 0.5000, 0.2500)  4 Te 2.94, 4 Zr 3.25
Te (0.0000, 0.0000, 0.0442)  2 Zr 2.94, 4 Te 3.25
Te (0.0000, 0.0000, 0.4558)  2 Zr 2.94, 4 Te 3.25
Se (0.5000, 0.5000, 0.7500)  4 Se 3.25

* final energy: -19.03 eV/cell
* mass density: 6.644 Mg/m³
* ΔE_f (raw): -177 meV per atom
* SG: Cmmm